# AcBiRhPb PBE optimized geometry
# volume: 27.708 Å³ per atom
# DOS(E_F): 0.92 states/eV per atom
# relative energy among the computed polymorphs: 0.350 eV/atom
# ρ: 11.18 Mg/m³
# uncorrected energy: -4.935 eV/atom
# formation energy from the elements: -0.173 eV per atom
data_AcBiRhPb
_chemical_formula_sum 'Ac4 Bi4 Rh4 Pb4'
_cell_length_a 7.625
_cell_length_b 7.625
_cell_length_c 7.625
_cell_angle_alpha 90.00
_cell_angle_beta 90.00
_cell_angle_gamma 90.00
_symmetry_space_group_name_H-M 'F -4 3 m'
_symmetry_Int_Tables_number 216
_symmetry_space_group_name_Hall 'F -4 2 3'
loop_
_atom_site_label
_atom_site_type_symbol
_atom_site_fract_x
_atom_site_fract_y
_atom_site_fract_z
_atom_site_occupancy
Ac1 Ac 0.000 0.000 0.000 1
Bi1 Bi 0.000 0.000 0.500 1
Rh1 Rh 0.250 0.250 0.250 1
Pb1 Pb 0.250 0.250 0.750 1

---

# NiRhCl4 PBE optimized geometry
# volume: 23.113 Å³ per atom
# DOS(E_F): 0.54 states/eV per atom
# relative energy among the computed polymorphs: 0.000 eV/atom
# ρ: 3.63 Mg/m³
# uncorrected energy: -3.877 eV/atom
# raw formation energy: -2.74 eV/f.u.
data_NiRhCl4
_chemical_formula_sum 'Ni4 Rh4 Cl16'
_cell_length_a 15.865
_cell_length_b 3.620
_cell_length_c 12.254
_cell_angle_alpha 90.00
_cell_angle_beta 127.99
_cell_angle_gamma 90.00
_symmetry_space_group_name_H-M 'C 1 2/c 1'
_symmetry_Int_Tables_number 15
loop_
_symmetry_equiv_pos_as_xyz
'x,y,z'
'-x,-y,-z'
'-x,y,-z+1/2'
'x,-y,z+1/2'
'x+1/2,y+1/2,z'
'-x+1/2,-y+1/2,-z'
'-x+1/2,y+1/2,-z+1/2'
'x+1/2,-y+1/2,z+1/2'
loop_
_atom_site_label
_atom_site_type_symbol
_atom_site_fract_x
_atom_site_fract_y
_atom_site_fract_z
_atom_site_occupancy
Ni1 Ni 0.000 0.029 0.250 1
Rh1 Rh 0.000 0.500 0.000 1
Cl1 Cl 0.101 0.466 0.917 1
Cl2 Cl 0.107 0.054 0.175 1

---

# AsCl PBE optimized geometry
# volume: 37.906 Å³ per atom
# DOS(E_F): 0.56 states/eV per atom
# ρ: 2.42 Mg/m³
# uncorrected energy: -3.177 eV/atom
# raw formation energy: 0.14 eV/f.u.
data_AsCl
_chemical_formula_sum 'As8 Cl8'
_cell_length_a 8.465
_cell_length_b 8.465
_cell_length_c 8.465
_cell_angle_alpha 90.00
_cell_angle_beta 90.00
_cell_angle_gamma 90.00
_symmetry_space_group_name_H-M 'I -4 3 m'
_symmetry_Int_Tables_number 217
_symmetry_space_group_name_Hall 'I -4 2 3'
loop_
_atom_site_label
_atom_site_type_symbol
_atom_site_fract_x
_atom_site_fract_y
_atom_site_fract_z
_atom_site_occupancy
As1 As 0.110 0.110 0.890 1
Cl1 Cl 0.230 0.230 0.230 1

---

# Zn2CdCu PBE optimized geometry
# volume: 15.936 Å³ per atom
# DOS(E_F): 0.28 states/eV per atom
# ρ: 7.99 Mg/m³
# uncorrected energy: -1.836 eV/atom
# formation energy from the elements: 0.054 eV per atom
data_Zn2CdCu
_chemical_formula_sum 'Zn4 Cd2 Cu2'
_cell_length_a 9.081
_cell_length_b 2.924
_cell_length_c 4.899
_cell_angle_alpha 90.00
_cell_angle_beta 101.44
_cell_angle_gamma 90.00
_symmetry_space_group_name_H-M 'C 1 2/m 1'
_symmetry_Int_Tables_number 12
loop_
_symmetry_equiv_pos_as_xyz
'x,y,z'
'-x,-y,-z'
'-x,y,-z'
'x,-y,z'
'x+1/2,y+1/2,z'
'-x+1/2,-y+1/2,-z'
'-x+1/2,y+1/2,-z'
'x+1/2,-y+1/2,z'
loop_
_atom_site_label
_atom_site_type_symbol
_atom_site_fract_x
_atom_site_fract_y
_atom_site_fract_z
_atom_site_occupancy
Zn1 Zn 0.238 0.000 0.221 1
Cd1 Cd 0.000 0.000 0.500 1
Cu1 Cu 0.000 0.500 0.000 1

---

- What is the ρ in the third record?
  2.42 Mg/m³